1.
Density functional theory data (PBE) for a relaxed NaLiCuN crystal.

Computed properties:
Symmetry: Imm2
DFT total energy: -16.1 eV for the cell shown

Unit cell a=3.621 b=3.753 c=5.033 alpha=111.89 beta=111.09 gamma=90.00
Positions (direct):
Na1 0.983 0.983 0.966
Cu1 0.661 0.661 0.322
N1 0.194 0.694 0.388
Li1 0.277 0.277 0.555

2.
Density functional theory data (PBE) for a relaxed KH4Rh2 crystal.

Computed properties:
Symmetry: Fddd
DFT total energy: -60.2 eV for the cell shown

Unit cell a=5.921 b=5.921 c=5.917 alpha=119.95 beta=119.97 gamma=90.08
Positions (direct):
H1 0.411 0.233 0.822
H2 0.840 0.161 0.322
Rh1 0.125 0.375 0.750
H3 0.767 0.589 0.178
H4 0.483 0.161 0.322
K1 0.000 0.000 0.000
K2 0.250 0.750 0.500
H5 0.839 0.160 0.678
H6 0.410 0.589 0.178
H7 0.411 0.590 0.822
Rh2 0.625 0.375 0.750
H8 0.839 0.517 0.678
Rh3 0.625 0.875 0.250
Rh4 0.625 0.375 0.250

3.
Density functional theory data (PBE) for a relaxed BaAgTeIr2 crystal.

Computed properties:
Symmetry: P4/mmm
DFT total energy: -19.9 eV for the cell shown

Unit cell a=5.009 b=5.810 c=5.009 alpha=90.00 beta=90.00 gamma=90.00
Last column: magnetic moment on the atom in μB.
Positions (direct):
Ba1 0.000 0.500 0.000  -0.01
Ir1 0.500 0.000 0.000  0.85
Ir2 0.000 0.000 0.500  1.03
Ag1 0.000 0.000 0.000  0.04
Te1 0.500 0.500 0.500  0.08

4.
Density functional theory data (PBE) for a relaxed La4WBr crystal.

Computed properties:
Symmetry: F-43m
DFT total energy: -29.5 eV for the cell shown

Unit cell a=6.299 b=6.299 c=6.299 alpha=60.00 beta=60.00 gamma=60.00
Last column: magnetic moment on the atom in μB.
Positions (direct):
W1 0.750 0.750 0.750  0.68
La1 0.377 0.868 0.377  -0.02
La2 0.377 0.377 0.377  -0.02
La3 0.868 0.377 0.377  -0.02
Br1 0.000 0.000 0.000  0.01
La4 0.377 0.377 0.868  -0.02

5.
Density functional theory data (PBE) for a relaxed NaV2PtPb crystal.

Computed properties:
Symmetry: P4/mmm
Formation energy from the elements: 1.23 eV per atom
DFT total energy: -23.2 eV for the cell shown

Unit cell a=5.308 b=5.147 c=5.308 alpha=90.00 beta=90.00 gamma=90.00
Last column: magnetic moment on the atom in μB.
Positions (direct):
V1 0.000 0.000 0.500  3.04
V2 0.500 0.000 0.000  2.69
Na1 0.500 0.500 0.500  0.02
Pt1 0.000 0.500 0.000  0.01
Pb1 0.000 0.000 0.000  -0.02

6.
Density functional theory data (PBE) for a relaxed La4Pr15Cd crystal.

Computed properties:
Symmetry: P4/mmm
Formation energy from the elements: -0.01 eV per atom
DFT total energy: -92.5 eV for the cell shown

Unit cell a=5.212 b=5.212 c=26.165 alpha=90.00 beta=90.00 gamma=90.00
Positions (direct):
Pr1 0.000 0.500 0.297
Pr2 0.500 0.500 0.602
La1 0.000 0.000 0.399
Cd1 0.000 0.000 0.000
Pr3 0.500 0.000 0.095
Pr4 0.000 0.500 0.905
La2 0.000 0.000 0.601
Pr5 0.500 0.500 0.194
Pr6 0.000 0.500 0.703
Pr7 0.500 0.000 0.297
Pr8 0.500 0.000 0.703
Pr9 0.500 0.500 0.398
Pr10 0.500 0.000 0.905
Pr11 0.500 0.500 0.000
La3 0.000 0.000 0.804
Pr12 0.500 0.000 0.500
Pr13 0.000 0.500 0.095
Pr14 0.500 0.500 0.806
Pr15 0.000 0.500 0.500
La4 0.000 0.000 0.196

7.
Density functional theory data (PBE) for a relaxed LiEr3Np3Se8 crystal.

Computed properties:
Symmetry: R-3m
DFT total energy: -103.8 eV for the cell shown

Unit cell a=8.100 b=8.100 c=8.105 alpha=119.98 beta=90.00 gamma=120.00
Last column: magnetic moment on the atom in μB.
Positions (direct):
Er1 0.500 0.500 0.000  0.06
Se1 0.752 0.996 0.249  -0.05
Se2 0.756 0.003 0.751  -0.05
Se3 0.752 0.504 0.756  -0.04
Se4 0.248 0.496 0.244  -0.04
Np1 0.000 0.500 0.500  4.03
Er2 0.000 0.000 0.000  0.06
Np2 0.500 0.500 0.500  4.03
Se5 0.753 0.505 0.249  -0.05
Er3 0.000 0.500 0.000  0.06
Se6 0.248 0.004 0.751  -0.05
Np3 0.500 0.000 0.500  4.03
Se7 0.247 0.495 0.751  -0.05
Li1 0.000 0.000 0.500  0.00
Se8 0.244 0.997 0.249  -0.05

8.
Density functional theory data (PBE) for a relaxed SiWSe2N crystal.

Computed properties:
Symmetry: P4/mmm
DFT total energy: -31.6 eV for the cell shown

Unit cell a=5.075 b=5.075 c=3.802 alpha=90.00 beta=90.00 gamma=90.00
Positions (direct):
W1 0.000 0.000 0.000
Se1 0.000 0.500 0.000
Se2 0.500 0.000 0.000
Si1 0.500 0.500 0.500
N1 0.000 0.000 0.500

9.
Density functional theory data (PBE) for a relaxed Bi5As3Pb12 crystal.

Computed properties:
Symmetry: Ia-3d
Formation energy from the elements: 0.19 eV per atom
DFT total energy: -296.1 eV for the cell shown

Unit cell a=15.829 b=15.829 c=15.829 alpha=109.47 beta=109.47 gamma=109.47
Positions (direct):
Pb1 0.645 0.071 0.234
Pb2 0.145 0.410 0.074
Bi1 0.625 0.875 0.250
Bi2 0.500 0.000 0.000
Bi3 0.750 0.625 0.375
Pb3 0.090 0.926 0.355
Pb4 0.410 0.145 0.574
Pb5 0.929 0.574 0.163
Bi4 0.750 0.125 0.875
Bi5 0.375 0.125 0.750
Pb6 0.910 0.074 0.645
Bi6 0.000 0.500 0.500
Pb7 0.734 0.145 0.071
As1 0.875 0.750 0.125
Bi7 0.500 0.000 0.500
Pb8 0.429 0.766 0.855
Bi8 0.000 0.000 0.500
As2 0.125 0.875 0.750
Bi9 0.375 0.250 0.125
Bi10 0.875 0.625 0.750
Pb9 0.071 0.645 0.734
Bi11 0.250 0.375 0.625
Pb10 0.571 0.234 0.145
As3 0.375 0.750 0.625
Bi12 0.250 0.875 0.125
Pb11 0.337 0.766 0.410
Pb12 0.145 0.734 0.571
Pb13 0.663 0.234 0.590
As4 0.375 0.625 0.250
Pb14 0.355 0.426 0.090
Pb15 0.410 0.266 0.337
Pb16 0.163 0.090 0.734
Bi13 0.125 0.375 0.250
Bi14 0.625 0.750 0.875
Pb17 0.574 0.929 0.663
Pb18 0.074 0.163 0.429
Pb19 0.837 0.910 0.266
Pb20 0.590 0.855 0.426
Pb21 0.090 0.163 0.234
Pb22 0.571 0.337 0.926
Pb23 0.337 0.571 0.426
Pb24 0.355 0.929 0.766
Pb25 0.837 0.926 0.071
Pb26 0.074 0.910 0.145
As5 0.625 0.250 0.375
Pb27 0.234 0.663 0.090
Pb28 0.663 0.429 0.574
Pb29 0.926 0.837 0.571
Bi15 0.125 0.750 0.375
Pb30 0.926 0.090 0.855
As6 0.250 0.625 0.875
Pb31 0.766 0.429 0.355
Bi16 0.500 0.500 0.500
Pb32 0.163 0.074 0.929
Pb33 0.929 0.355 0.266
Pb34 0.766 0.337 0.910
Pb35 0.645 0.574 0.910
As7 0.750 0.875 0.625
As8 0.250 0.125 0.375
Pb36 0.590 0.734 0.663
Bi17 0.000 0.000 0.000
Pb37 0.071 0.426 0.837
Bi18 0.000 0.500 0.000
As9 0.125 0.250 0.875
Pb38 0.855 0.266 0.429
Pb39 0.266 0.855 0.929
Pb40 0.426 0.355 0.590
Pb41 0.855 0.590 0.926
Pb42 0.574 0.645 0.410
Pb43 0.910 0.837 0.766
As10 0.625 0.375 0.750
As11 0.875 0.125 0.250
Pb44 0.426 0.071 0.337
As12 0.750 0.375 0.125
Bi19 0.875 0.250 0.625
Bi20 0.500 0.500 0.000
Pb45 0.429 0.663 0.074
Pb46 0.266 0.410 0.837
Pb47 0.734 0.590 0.163
Pb48 0.234 0.571 0.645

10.
Density functional theory data (PBE) for a relaxed SrLiCdAu2 crystal.

Computed properties:
Symmetry: I-4m2
Formation energy from the elements: -0.59 eV per atom
DFT total energy: -14.0 eV for the cell shown

Unit cell a=4.253 b=4.253 c=7.214 alpha=107.15 beta=107.15 gamma=90.00
Positions (direct):
Au1 0.393 0.393 0.786
Sr1 0.000 0.000 0.000
Au2 0.607 0.607 0.214
Cd1 0.750 0.250 0.500
Li1 0.250 0.750 0.500